Model w:
Computed, not measured: Si2TeSe after structural relaxation at the GGA-PBE level of DFT.

Properties
V	307.4	Å³ per cell

Cell and atoms, written as CIF:
```
data_Si2TeSe
_chemical_formula_sum 'Si6 Te3 Se3'
_cell_length_a 3.7602
_cell_length_b 3.7602
_cell_length_c 25.1008
_cell_angle_alpha 90.00
_cell_angle_beta 90.00
_cell_angle_gamma 120.00
_space_group_name_H-M_alt 'R 3 m'
_space_group_IT_number 160
_space_group_name_Hall 'R 3 -2"'
loop_
_atom_site_label
_atom_site_fract_x
_atom_site_fract_y
_atom_site_fract_z
_atom_site_occupancy
Si1 0.0000 0.0000 0.0000 1
Si2 0.0000 0.0000 0.2702 1
Te1 0.0000 0.0000 0.7276 1
Se1 0.0000 0.0000 0.5524 1
```

=====

Model x:
Computed, not measured: Si2TeSe after structural relaxation at the GGA-PBE level of DFT.

Properties
V	210.6	Å³ per cell

Cell and atoms, written as CIF:
```
data_Si2TeSe
_chemical_formula_sum 'Si4 Te2 Se2'
_cell_length_a 3.474
_cell_length_b 6.599
_cell_length_c 9.185
_cell_angle_alpha 90.00
_cell_angle_beta 90.00
_cell_angle_gamma 90.00
_space_group_name_H-M_alt 'C m m 2'
_space_group_IT_number 35
_space_group_name_Hall 'C 2 -2'
loop_
_atom_site_label
_atom_site_fract_x
_atom_site_fract_y
_atom_site_fract_z
_atom_site_occupancy
Si1 0.000 0.000 0.000 1
Si2 0.000 0.500 0.198 1
Te1 0.000 0.500 0.793 1
Se1 0.000 0.000 0.373 1
```

=====

Q: Which of them is the most stable? A: model w.

=====

Model w:
Computed, not measured: KSrRu2 after structural relaxation at the GGA-PBE level of DFT.

Properties
V	87.2	Å³ per cell

Cell and atoms, written as CIF:
```
data_KSrRu2
_chemical_formula_sum 'K1 Sr1 Ru2'
_cell_length_a 4.143
_cell_length_b 4.143
_cell_length_c 5.077
_cell_angle_alpha 90.00
_cell_angle_beta 90.00
_cell_angle_gamma 90.00
_space_group_name_H-M_alt 'P 4/m m m'
_space_group_IT_number 123
_space_group_name_Hall '-P 4 2'
loop_
_atom_site_label
_atom_site_fract_x
_atom_site_fract_y
_atom_site_fract_z
_atom_site_occupancy
K1 0.000 0.000 0.000 1
Sr1 0.500 0.500 0.000 1
Ru1 0.000 0.500 0.500 1
```

=====

Model x:
Computed, not measured: KSrRu2 after structural relaxation at the GGA-PBE level of DFT.

Properties
V	265.5	Å³ per cell

Cell and atoms, written as CIF:
```
data_KSrRu2
_chemical_formula_sum 'K2 Sr2 Ru4'
_cell_length_a 7.103
_cell_length_b 4.098
_cell_length_c 9.341
_cell_angle_alpha 90.00
_cell_angle_beta 102.46
_cell_angle_gamma 90.00
_space_group_name_H-M_alt 'C 1 m 1'
_space_group_IT_number 8
_space_group_name_Hall 'C -2y'
loop_
_atom_site_label
_atom_site_fract_x
_atom_site_fract_y
_atom_site_fract_z
_atom_site_occupancy
K1 0.000 0.000 0.000 1
Sr1 0.346 0.500 0.466 1
Ru1 0.075 0.500 0.684 1
Ru2 0.257 0.000 0.736 1
```

=====

Q: Which of them is the most stable? A: model x.